Record 1
Entry from OQMD: an optimized crystal structure of CsCuTe2PbSe (PBE).

Summary:
- Uncorrected energy: -3.41 eV per atom

Cell: 4.376 14.219 12.338 Å, 90.00 90.00 90.00°
Space group Cmcm (No. 63)
Unique sites:
Cs  0.000  0.199  0.250 [4 per cell]
Cu  0.000  0.084  0.750 [4 per cell]
Te  0.000  0.160  0.550 [8 per cell]
Pb  0.000  0.500  0.000 [4 per cell]
Se  0.000  0.493  0.250 [4 per cell]

Record 2
Entry from OQMD: an optimized crystal structure of CsCu3Te4Pb (PBE).

Summary:
- Uncorrected energy: -3.01 eV per atom

Cell: 6.968 6.968 6.968 Å, 90.00 90.00 90.00°
Space group P-43m (No. 215)
Unique sites:
Cs  0.000  0.000  0.000 [1 per cell]
Cu  0.000  0.500  0.500 [3 per cell]
Te  0.273  0.273  0.273 [4 per cell]
Pb  0.500  0.500  0.500 [1 per cell]

Record 3
Entry from OQMD: an optimized crystal structure of CsCuPd (PBE).

Summary:
- Polymorph energy (0 for the lowest one): 0.440 eV per atom
- Uncorrected energy: -2.12 eV per atom

Cell: 7.182 7.182 7.182 Å, 90.00 90.00 90.00°
Space group F-43m (No. 216)
Unique sites:
Cs  0.000  0.000  0.000 [4 per cell]
Cu  0.250  0.250  0.750 [4 per cell]
Pd  0.250  0.250  0.250 [4 per cell]

Record 4
Entry from OQMD: an optimized crystal structure of CsCuPd (PBE).

Summary:
- Polymorph energy (0 for the lowest one): 0.000 eV per atom
- Uncorrected energy: -2.56 eV per atom

Cell: 7.033 7.033 7.033 Å, 90.00 90.00 90.00°
Space group F-43m (No. 216)
Unique sites:
Cs  0.000  0.000  0.000 [4 per cell]
Cu  0.000  0.000  0.500 [4 per cell]
Pd  0.250  0.250  0.250 [4 per cell]

Record 5
Entry from OQMD: an optimized crystal structure of CsCu3PdS4 (PBE).

Summary:
- Uncorrected energy: -3.79 eV per atom

Cell: 6.047 6.047 6.047 Å, 90.00 90.00 90.00°
Space group P-43m (No. 215)
Unique sites:
Cs  0.000  0.000  0.000 [1 per cell]
Cu  0.000  0.500  0.500 [3 per cell]
Pd  0.500  0.500  0.500 [1 per cell]
S  0.284  0.284  0.284 [4 per cell]

Record 6
Entry from OQMD: an optimized crystal structure of CsCuPdSeS2 (PBE).

Summary:
- Uncorrected energy: -4.02 eV per atom

Cell: 3.777 15.468 10.226 Å, 90.00 90.00 90.00°
Space group Cmcm (No. 63)
Unique sites:
Cs  0.000  0.248  0.250 [4 per cell]
Cu  0.000  0.456  0.750 [4 per cell]
Pd  0.000  0.000  0.000 [4 per cell]
Se  0.000  0.054  0.750 [4 per cell]
S  0.000  0.403  0.544 [8 per cell]

Question: uncorrected energy of number 6 (CsCuPdSeS2)?
Answer: -4.02 eV per atom

Question: Look up the uncorrected energy of the first one.
Answer: -3.41 eV per atom

What did the fifth record say?
Entry from OQMD: an optimized crystal structure of CsCu3PdS4 (PBE).

Summary:
- Uncorrected energy: -3.79 eV per atom

Cell: 6.047 6.047 6.047 Å, 90.00 90.00 90.00°
Space group P-43m (No. 215)
Unique sites:
Cs  0.000  0.000  0.000 [1 per cell]
Cu  0.000  0.500  0.500 [3 per cell]
Pd  0.500  0.500  0.500 [1 per cell]
S  0.284  0.284  0.284 [4 per cell]

Question: Which value of uncorrected energy does entry 1 give?
Answer: -3.41 eV per atom